{"formula": "Pr2PbS", "functional": "PBE", "state": "optimized geometry", "polymorph_energy_ev_per_atom": 0.019, "formation_energy_uncorrected_mev_per_atom": -1220, "sg": "R3m", "lattice": [[3.990, 0.000, 0.000], [1.995, 3.456, 0.000], [1.995, 1.152, 8.454]], "species": ["S", "Pr", "Pr", "Pb"], "frac_coords": [[0.667, 0.667, 0.998], [0.267, 0.267, 0.198], [0.066, 0.066, 0.802], [0.499, 0.499, 0.502]]}



{"formula": "Al2IrAu", "functional": "PBE", "state": "optimized geometry", "final_energy_ev_per_cell": -21.5, "sg": "P4mm", "lattice": [[3.389, 0.000, 0.000], [0.000, 3.389, 0.000], [0.000, 0.000, 5.470]], "species": ["Ir", "Al", "Al", "Au"], "frac_coords": [[0.500, 0.500, 0.804], [0.000, 0.000, 0.970], [0.500, 0.500, 0.267], [0.000, 0.000, 0.459]]}



{"formula": "SbTe2SBr", "functional": "PBE", "state": "optimized geometry", "polymorph_energy_ev_per_atom": 0.000, "formation_energy_uncorrected_mev_per_atom": 484, "sg": "P4/mmm", "lattice": [[5.276, 0.000, 0.000], [0.000, 5.276, 0.000], [0.000, 0.000, 5.405]], "species": ["Br", "S", "Sb", "Te", "Te"], "frac_coords": [[0.500, 0.500, 0.500], [0.000, 0.000, 0.000], [0.000, 0.000, 0.500], [0.000, 0.500, 0.000], [0.500, 0.000, 0.000]]}



{"formula": "YCrIr2", "functional": "PBE", "state": "optimized geometry", "polymorph_energy_ev_per_atom": 0.325, "sg": "P2/m", "lattice": [[3.027, 0.000, 0.000], [0.000, 4.999, 0.074], [0.000, 3.505, 4.545]], "species": ["Ir", "Y", "Ir", "Cr"], "frac_coords": [[0.500, 0.500, 0.000], [0.500, 0.500, 0.500], [0.000, 0.000, 0.000], [0.000, 0.000, 0.500]]}



For each record above, in turn, the calculated Fermi-level density of states values are 2.2 2.4 4.4 4.1 states/eV/f.u..